A relaxed KNbTl2Br crystal. Source: the Alexandria database, functional GGA-PBEsol.

Lattice parameters (Å, degrees): 5.985 5.985 4.896 90.00 90.00 90.00
Space group P4/mmm (No. 123)
Symmetry-distinct sites (fractional):
K 0.000 0.000 0.000 (multiplicity 1)
Nb 0.500 0.500 0.000 (multiplicity 1)
Tl 0.000 0.500 0.500 (multiplicity 2)
Br 0.500 0.500 0.500 (multiplicity 1)

Summary:
uncorrected formation energy	0.638	eV/atom
crystal system	tetragonal
E_tot	-3.18	eV per atom
density	5.88	Mg/m³
M_tot	0.3910	μB per atom